1.
Material: GdZn
Method: DFT, PBE
State: relaxed

Cell and atoms, written as extended XYZ:
```
8
Lattice="4.682 0.000 0.000 0.000 7.516 0.000 0.000 0.000 5.207" Properties=species:S:1:pos:R:3 pbc="T T T"
Gd 0.000 0.000 0.000
Gd 0.000 2.234 2.709
Gd 0.000 5.283 2.709
Gd 2.341 0.000 2.581
Zn 0.000 3.758 0.097
Zn 2.341 2.030 4.957
Zn 2.341 3.758 1.695
Zn 2.341 5.487 4.957
```

Results
**E**: -3.03 eV/atom
**Distance to the lowest polymorph of the same formula**: 266.7 meV/atom
**Symmetry**: Pmm2
**Formation energy from the elements**: -0.143 eV/f.u.

=====

2.
Material: Al2Ag
Method: DFT, PBE
State: relaxed

Cell and atoms, written as extended XYZ:
```
6
Lattice="0.000 3.767 3.767 3.767 0.000 3.767 3.767 3.767 0.000" Properties=species:S:1:pos:R:3 pbc="T T T"
Al 0.000 0.000 0.000
Al 1.883 1.883 0.000
Al 1.883 0.000 1.883
Al 0.000 1.883 1.883
Ag 2.825 2.825 2.825
Ag 4.709 4.709 4.709
```

Results
**E**: -3.25 eV/atom
**Symmetry**: Fd-3m

=====

3.
Material: Nd3Mg3Pd2Pt
Method: DFT, PBE
State: relaxed

Cell and atoms, written as extended XYZ:
```
9
Lattice="7.586 0.000 0.000 -3.793 6.570 0.000 0.000 0.000 4.156" Properties=species:S:1:pos:R:3 pbc="T T T"
Nd -1.557 2.696 0.000
Nd 3.113 0.000 0.000
Nd 2.237 3.874 0.000
Mg -2.887 5.000 2.078
Mg 0.906 1.570 2.078
Mg 5.774 0.000 2.078
Pd 0.000 4.380 2.078
Pd 3.793 2.190 2.078
Pt 0.000 0.000 0.000
```

Results
**E**: -4.66 eV/atom
**Symmetry**: P-62m

=====

4.
Material: HoGa
Method: DFT, PBE
State: relaxed

Cell and atoms, written as extended XYZ:
```
2
Lattice="0.000 3.265 3.265 3.265 0.000 3.265 3.265 3.265 0.000" Properties=species:S:1:pos:R:3 pbc="T T T"
Ho 0.000 0.000 0.000
Ga 1.632 1.632 1.632
```

Results
**E**: -3.29 eV/atom
**Symmetry**: F-43m

=====

5.
Material: LiCuTe3Pb
Method: DFT, PBE
State: relaxed

Cell and atoms, written as extended XYZ:
```
12
Lattice="2.162 -7.463 0.000 2.162 7.463 0.000 0.000 0.000 10.998" Properties=species:S:1:pos:R:3 pbc="T T T"
Li 2.162 3.755 8.248
Li 2.162 -3.755 2.749
Cu 2.162 7.344 8.248
Cu 2.162 -7.344 2.749
Te 2.162 5.336 1.321
Te 2.162 5.336 4.178
Te 2.162 1.632 2.749
Te 2.162 -1.632 8.248
Te 2.162 -5.336 6.819
Te 2.162 -5.336 9.677
Pb 2.162 0.000 0.000
Pb 2.162 0.000 5.499
```

Results
**E**: -3.42 eV/atom
**Symmetry**: Cmcm

=====

6.
Material: NaLiRe
Method: DFT, PBE
State: relaxed

Cell and atoms, written as extended XYZ:
```
3
Lattice="0.000 3.316 3.316 3.316 0.000 3.316 3.316 3.316 0.000" Properties=species:S:1:pos:R:3 pbc="T T T"
Na 0.000 0.000 0.000
Li 3.316 3.316 3.316
Re 4.975 4.975 4.975
```

Results
**E**: -3.25 eV/atom
**Symmetry**: F-43m

=====

7.
Material: NaLuZrNi
Method: DFT, PBE
State: relaxed

Cell and atoms, written as extended XYZ:
```
4
Lattice="0.000 3.449 3.449 3.449 0.000 3.449 3.449 3.449 0.000" Properties=species:S:1:pos:R:3 pbc="T T T"
Na 0.000 0.000 0.000
Lu 1.724 1.724 1.724
Zr 5.173 5.173 5.173
Ni 3.449 3.449 3.449
```

Results
**E**: -4.72 eV/atom
**Distance to the lowest polymorph of the same formula**: 0.0 meV/atom
**Symmetry**: F-43m

=====

8.
Material: SmSiTc
Method: DFT, PBE
State: relaxed

Cell and atoms, written as extended XYZ:
```
3
Lattice="0.000 3.162 3.162 3.162 0.000 3.162 3.162 3.162 0.000" Properties=species:S:1:pos:R:3 pbc="T T T"
Sm 0.000 0.000 0.000
Si 1.581 1.581 1.581
Tc 3.162 3.162 3.162
```

Results
**E**: -6.79 eV/atom
**Distance to the lowest polymorph of the same formula**: 0.0 meV/atom
**Symmetry**: F-43m